[1]
{"formula": "Pu2ThBi", "functional": "PBE-GGA", "state": "optimized geometry", "lattice_angstrom": [[5.4322, 0.0000, 0.0000], [2.7161, 4.7044, 0.0000], [2.7161, 1.5681, 4.4354]], "species": ["Th", "Pu", "Pu", "Bi"], "fractional_positions": [[0.0000, 0.0000, 0.0000], [0.2500, 0.2500, 0.2500], [0.7500, 0.7500, 0.7500], [0.5000, 0.5000, 0.5000]], "vol_a3_per_atom": 28.337, "formation_enthalpy_0k_ev_per_fu": 0.204, "crystal_system": "cubic", "e_tot_ev_per_atom": -9.940, "spacegroup": "Fm-3m"}

---

[2]
{"formula": "CsHg2GeO4", "functional": "PBE-GGA", "state": "optimized geometry", "lattice_angstrom": [[6.0874, 0.0000, 0.0000], [3.0437, 4.9137, -0.9179], [3.0437, -0.3682, 4.9851]], "species": ["O", "O", "O", "O", "Ge", "Cs", "Hg", "Hg"], "fractional_positions": [[0.0002, 0.8032, 0.5384], [0.9998, 0.4616, 0.1968], [0.6582, 0.5384, 0.8032], [0.3418, 0.1968, 0.4616], [0.0000, 0.5000, 0.5000], [0.0000, 0.0000, 0.0000], [0.5000, 0.2511, 0.7489], [0.5000, 0.7489, 0.2511]], "vol_a3_per_atom": 18.382, "crystal_system": "orthorhombic", "e_tot_ev_per_atom": -4.211, "spacegroup": "I222"}

---

[3]
{"formula": "Sm3HgS", "functional": "PBE-GGA", "state": "optimized geometry", "lattice_angstrom": [[5.2961, 0.0000, 0.0000], [0.0000, 5.2961, 0.0000], [0.0000, 0.0000, 5.2961]], "species": ["S", "Sm", "Sm", "Sm", "Hg"], "fractional_positions": [[0.0000, 0.0000, 0.0000], [0.0000, 0.0000, 0.5000], [0.5000, 0.0000, 0.0000], [0.0000, 0.5000, 0.0000], [0.5000, 0.5000, 0.5000]], "vol_a3_per_atom": 29.710, "crystal_system": "cubic", "e_tot_ev_per_atom": -4.515, "spacegroup": "Pm-3m"}

---

[4]
{"formula": "MnAg2Os", "functional": "PBE-GGA", "state": "optimized geometry", "lattice_angstrom": [[-2.0870, 1.0859, 1.4939], [-1.8112, -0.7627, -1.9759], [-1.0311, -6.9970, 3.6459]], "species": ["Ag", "Ag", "Os", "Mn"], "fractional_positions": [[0.0000, 0.0000, 0.9901], [0.5000, 0.5000, 0.2693], [0.5000, 0.5000, 0.7086], [0.0000, 0.0000, 0.5320]], "vol_a3_per_atom": 15.449, "formation_enthalpy_0k_ev_per_fu": 1.316, "crystal_system": "tetragonal", "e_tot_ev_per_atom": -6.196, "spacegroup": "P4mm"}

---

[5]
{"formula": "La2CoSe", "functional": "PBE-GGA", "state": "optimized geometry", "lattice_angstrom": [[-3.1037, 2.4944, -3.0895], [-4.9506, -0.9381, 0.1053], [-3.1778, 3.4411, 1.8601]], "species": ["La", "La", "Co", "Se"], "fractional_positions": [[0.0000, 0.0000, 0.0000], [0.2500, 0.2500, 0.2500], [0.5000, 0.5000, 0.5000], [0.7500, 0.7500, 0.7500]], "vol_a3_per_atom": 22.629, "crystal_system": "cubic", "e_tot_ev_per_atom": -5.197, "spacegroup": "F-43m"}

---

[6]
{"formula": "Mg2TaSb", "functional": "PBE-GGA", "state": "optimized geometry", "lattice_angstrom": [[3.0659, -0.0031, 0.0000], [-0.8495, 2.9458, 0.0000], [0.0000, 0.0000, 9.8077]], "species": ["Ta", "Mg", "Mg", "Sb"], "fractional_positions": [[0.5000, 0.5000, 0.7517], [0.0000, 0.0000, 0.9819], [0.5000, 0.5000, 0.2371], [0.0000, 0.0000, 0.5293]], "vol_a3_per_atom": 22.138, "crystal_system": "orthorhombic", "e_tot_ev_per_atom": -4.635, "spacegroup": "Cmm2"}

---

[7]
{"formula": "TbDy3Ru3", "functional": "PBE-GGA", "state": "optimized geometry", "lattice_angstrom": [[6.6379, 1.5337, 0.4029], [-1.5841, 6.6260, 0.4029], [-0.3023, -0.4881, 6.7181]], "species": ["Dy", "Dy", "Dy", "Dy", "Dy", "Dy", "Ru", "Ru", "Ru", "Ru", "Ru", "Ru", "Tb", "Tb"], "fractional_positions": [[0.7560, 0.2440, 0.0000], [0.7542, 0.7542, 0.4994], [0.2458, 0.2458, 0.5006], [0.7540, 0.2460, 0.5000], [0.2460, 0.7540, 0.5000], [0.2440, 0.7560, 0.0000], [0.0000, 0.5000, 0.2504], [0.0000, 0.5000, 0.7496], [0.5000, 0.0000, 0.2504], [0.5000, 0.0000, 0.7496], [0.0000, 0.0000, 0.7496], [0.0000, 0.0000, 0.2504], [0.2485, 0.2485, 0.0006], [0.7515, 0.7515, 0.9994]], "vol_a3_per_atom": 22.432, "formation_enthalpy_0k_ev_per_fu": -2.339, "crystal_system": "monoclinic", "e_tot_ev_per_atom": -6.943, "spacegroup": "C2/m"}

---

[8]
{"formula": "Y2SiN", "functional": "PBE-GGA", "state": "optimized geometry", "lattice_angstrom": [[6.7405, 0.0000, 0.0000], [0.0000, 6.7405, 0.0000], [3.3703, 3.3703, 3.7716]], "species": ["Y", "Y", "Y", "Y", "Si", "Si", "N", "N"], "fractional_positions": [[0.5509, 0.1250, 0.2500], [0.8750, 0.8009, 0.7500], [0.1991, 0.6250, 0.2500], [0.3750, 0.4491, 0.7500], [0.7500, 0.2500, 0.5000], [0.0000, 0.0000, 0.0000], [0.2500, 0.7500, 0.5000], [0.5000, 0.5000, 0.0000]], "vol_a3_per_atom": 21.420, "crystal_system": "tetragonal", "e_tot_ev_per_atom": -7.466, "spacegroup": "I-42d"}

---

[9]
{"formula": "PbO2F", "functional": "PBE-GGA", "state": "optimized geometry", "lattice_angstrom": [[-3.4340, -1.9890, 0.0756], [-2.4965, 0.4657, 3.0504], [-3.4264, 1.9356, -0.5174]], "species": ["O", "O", "F", "Pb"], "fractional_positions": [[0.7500, 0.7500, 0.7500], [0.2500, 0.2500, 0.2500], [0.0000, 0.0000, 0.0000], [0.5000, 0.5000, 0.5000]], "vol_a3_per_atom": 11.054, "crystal_system": "cubic", "e_tot_ev_per_atom": -4.244, "spacegroup": "Fm-3m"}

---

[10]
{"formula": "Hg2SbSe", "functional": "PBE-GGA", "state": "optimized geometry", "lattice_angstrom": [[-0.9426, 2.0238, 7.1164], [-4.7149, 1.2376, 5.6450], [-2.2828, -1.8681, 6.8503]], "species": ["Se", "Sb", "Hg", "Hg"], "fractional_positions": [[0.7500, 0.7500, 0.7500], [0.2500, 0.2500, 0.2500], [0.0037, 0.0037, 0.0037], [0.4963, 0.4963, 0.4963]], "vol_a3_per_atom": 26.035, "crystal_system": "trigonal", "e_tot_ev_per_atom": -2.009, "spacegroup": "R-3m"}